DFT (PBE) results for an optimized crystal structure of TaHgPb4.

Calculated values
spin magnetization: 11.147 μB per cell
electronic total energy: -3.652 eV/atom

CIF file:
```
data_TaHgPb4
_cell_length_a 8.9391
_cell_length_b 8.9391
_cell_length_c 8.9391
_cell_angle_alpha 90.00
_cell_angle_beta 90.00
_cell_angle_gamma 90.00
_space_group_name_H-M_alt 'F -4 3 m'
_space_group_IT_number 216
_space_group_name_Hall 'F -4 2 3'
loop_
_atom_site_label
_atom_site_type_symbol
_atom_site_fract_x
_atom_site_fract_y
_atom_site_fract_z
Ta1 Ta 0.0000 0.0000 0.0000
Hg1 Hg 0.2500 0.2500 0.7500
Pb1 Pb 0.1258 0.1258 0.3742
```